Computed, not measured: a crystal of HgBr5 relaxed with PBEsol at the meta-GGA SCAN level of DFT.

a = 3.9220 Å, b = 6.5328 Å, c = 7.2464 Å
α = 90.00°, β = 90.00°, γ = 107.47°
Positions (direct):
Br (0.3325, 0.6649, 0.5000)
Br (0.1455, 0.2910, 0.0000)
Br (0.0000, 0.0000, 0.5000)
Br (0.6675, 0.3351, 0.5000)
Br (0.8545, 0.7090, 0.0000)
Hg (0.5000, 0.0000, 0.0000)

Computed properties:
Relative energy among the computed polymorphs ... 32.4 meV/atom
Energy relative to the elements, uncorrected ... -0.01 eV/atom
Space-group type ... No. 65